This record from Alexandria describes a relaxed SrV2Au crystal. The functional is PBE-GGA.

a = 4.8855 Å, b = 4.8855 Å, c = 4.8855 Å
α = 60.00°, β = 60.00°, γ = 60.00°
Last column: magnetic moment on the atom in μB.
Element x y z (fractional)
V: 0.7500 0.7500 0.7500  2.48
V: 0.2500 0.2500 0.2500  2.48
Sr: 0.0000 0.0000 0.0000  0.16
Au: 0.5000 0.5000 0.5000  0.04

Results
energy relative to the lowest polymorph listed for this composition: 180 meV/atom
symmetry: Fm-3m (225)
total energy: -5.0488 eV/atom
ΔE_f: 0.750 eV/atom